# ScPd3Pt | the Alexandria database | PBE-GGA | optimized geometry
# - DFT formation energy (meV/atom) = -658.2
# - space group = C2/m, No. 12
# - crystal system = monoclinic
# - final energy (eV/atom) = -6.248
data_ScPd3Pt
_symmetry_space_group_name_H-M 'P 1'
_symmetry_Int_Tables_number 1
_cell_length_a 4.007
_cell_length_b 5.657
_cell_length_c 10.274
_cell_angle_alpha 133.82
_cell_angle_beta 101.24
_cell_angle_gamma 90.00
loop_
_symmetry_equiv_pos_as_xyz
'x,y,z'
loop_
_atom_site_label
_atom_site_type_symbol
_atom_site_fract_x
_atom_site_fract_y
_atom_site_fract_z
Sc1 Sc 0.612 0.779 0.223
Sc2 Sc 0.388 0.221 0.777
Pd1 Pd 0.999 0.248 0.998
Pd2 Pd 0.001 0.752 0.002
Pd3 Pd 0.400 0.750 0.800
Pd4 Pd 0.600 0.250 0.200
Pd5 Pd 0.199 0.246 0.397
Pd6 Pd 0.801 0.754 0.603
Pt1 Pt 0.804 0.265 0.608
Pt2 Pt 0.196 0.735 0.392